Record 1
First-principles (PBE) data for an optimized crystal structure of Pr2Al7Au12, as listed in Alexandria.

## Properties
Magnetic moment in μB per atom: 0.000
Crystal system: hexagonal
ΔE_f in eV per formula unit: -11.01

Geometry as CIF:
```
data_Pr2Al7Au12
_chemical_formula_sum 'Pr2 Al7 Au12'
_space_group_name_H-M_alt 'P -6'
_space_group_IT_number 174
_cell_length_a 10.3527
_cell_length_b 10.3527
_cell_length_c 4.3039
_cell_angle_alpha 90.00
_cell_angle_beta 90.00
_cell_angle_gamma 120.00
loop_
_space_group_symop_operation_xyz
'x,y,z'
'-x+y,-x,-z'
'-y,x-y,z'
'x,y,-z'
'-x+y,-x,z'
'-y,x-y,-z'
loop_
_atom_site_label
_atom_site_type_symbol
_atom_site_fract_x
_atom_site_fract_y
_atom_site_fract_z
Pr1 Pr 0.0000 0.0000 0.0000
Pr2 Pr 0.3333 0.6667 0.5000
Al1 Al 0.0363 0.4564 0.0000
Al2 Al 0.2668 0.2504 0.5000
Al3 Al 0.6667 0.3333 0.0000
Au1 Au 0.0242 0.2576 0.5000
Au2 Au 0.1484 0.7453 0.0000
Au3 Au 0.3780 0.1997 0.0000
Au4 Au 0.5603 0.4366 0.5000
```

Record 2
First-principles (PBE) data for an optimized crystal structure of Pr8AlAu2, as listed in Alexandria.

## Properties
Magnetic moment in μB per atom: 0.000
Offset from the most stable computed form in kJ/mol of formula units: 76.3
Crystal system: orthorhombic
ΔE_f in eV per formula unit: -2.76

Geometry as CIF:
```
data_Pr8AlAu2
_chemical_formula_sum 'Pr16 Al2 Au4'
_space_group_name_H-M_alt 'I m m m'
_space_group_IT_number 71
_space_group_name_Hall '-I 2 2'
_cell_length_a 5.076
_cell_length_b 8.536
_cell_length_c 15.390
_cell_angle_alpha 90.00
_cell_angle_beta 90.00
_cell_angle_gamma 90.00
loop_
_atom_site_label
_atom_site_type_symbol
_atom_site_fract_x
_atom_site_fract_y
_atom_site_fract_z
Pr1 Pr 0.000 0.000 0.135
Pr2 Pr 0.000 0.224 0.337
Pr3 Pr 0.000 0.313 0.000
Al1 Al 0.000 0.500 0.500
Au1 Au 0.000 0.500 0.193
```

Record 3
First-principles (PBE) data for an optimized crystal structure of PrAlAu3, as listed in Alexandria.

## Properties
Magnetic moment in μB per atom: 0.000
Offset from the most stable computed form in kJ/mol of formula units: 78.2
Crystal system: tetragonal
ΔE_f in eV per formula unit: -2.28

Geometry as CIF:
```
data_PrAlAu3
_chemical_formula_sum 'Pr2 Al2 Au6'
_space_group_name_H-M_alt 'P 4/m b m'
_space_group_IT_number 127
_space_group_name_Hall '-P 4 2ab'
_cell_length_a 6.665
_cell_length_b 6.665
_cell_length_c 5.252
_cell_angle_alpha 90.00
_cell_angle_beta 90.00
_cell_angle_gamma 90.00
loop_
_atom_site_label
_atom_site_type_symbol
_atom_site_fract_x
_atom_site_fract_y
_atom_site_fract_z
Pr1 Pr 0.000 0.500 0.000
Al1 Al 0.000 0.000 0.500
Au1 Au 0.000 0.000 0.000
Au2 Au 0.160 0.340 0.500
```

Record 4
First-principles (PBE) data for an optimized crystal structure of Pr8AlAu2, as listed in Alexandria.

## Properties
Magnetic moment in μB per atom: 0.000
Offset from the most stable computed form in kJ/mol of formula units: 0.0
Crystal system: monoclinic
ΔE_f in eV per formula unit: -3.55

Geometry as CIF:
```
data_Pr8AlAu2
_chemical_formula_sum 'Pr16 Al2 Au4'
_space_group_name_H-M_alt 'C 1 2/m 1'
_space_group_IT_number 12
_cell_length_a 18.902
_cell_length_b 5.282
_cell_length_c 7.259
_cell_angle_alpha 90.00
_cell_angle_beta 109.40
_cell_angle_gamma 90.00
loop_
_space_group_symop_operation_xyz
'x,y,z'
'-x,-y,-z'
'-x,y,-z'
'x,-y,z'
'x+1/2,y+1/2,z'
'-x+1/2,-y+1/2,-z'
'-x+1/2,y+1/2,-z'
'x+1/2,-y+1/2,z'
loop_
_atom_site_label
_atom_site_type_symbol
_atom_site_fract_x
_atom_site_fract_y
_atom_site_fract_z
Pr1 Pr 0.023 0.000 0.274
Pr2 Pr 0.091 0.500 0.969
Pr3 Pr 0.170 0.500 0.487
Pr4 Pr 0.195 0.000 0.831
Al1 Al 0.000 0.500 0.500
Au1 Au 0.176 0.000 0.227
```

Record 5
First-principles (PBE) data for an optimized crystal structure of Pr2AlAu2, as listed in Alexandria.

## Properties
Magnetic moment in μB per atom: 0.000
Crystal system: monoclinic
ΔE_f in eV per formula unit: -3.56

Geometry as CIF:
```
data_Pr2AlAu2
_chemical_formula_sum 'Pr8 Al4 Au8'
_space_group_name_H-M_alt 'C 1 2/m 1'
_space_group_IT_number 12
_cell_length_a 11.171
_cell_length_b 4.479
_cell_length_c 11.285
_cell_angle_alpha 90.00
_cell_angle_beta 118.72
_cell_angle_gamma 90.00
loop_
_space_group_symop_operation_xyz
'x,y,z'
'-x,-y,-z'
'-x,y,-z'
'x,-y,z'
'x+1/2,y+1/2,z'
'-x+1/2,-y+1/2,-z'
'-x+1/2,y+1/2,-z'
'x+1/2,-y+1/2,z'
loop_
_atom_site_label
_atom_site_type_symbol
_atom_site_fract_x
_atom_site_fract_y
_atom_site_fract_z
Pr1 Pr 0.000 0.000 0.165
Pr2 Pr 0.190 0.000 0.607
Al1 Al 0.218 0.500 0.858
Au1 Au 0.019 0.500 0.379
Au2 Au 0.151 0.500 0.069
```

Record 6
First-principles (PBE) data for an optimized crystal structure of PrAl2Au, as listed in Alexandria.

## Properties
Magnetic moment in μB per atom: 0.000
Crystal system: orthorhombic
ΔE_f in eV per formula unit: -2.23

Geometry as CIF:
```
data_PrAl2Au
_chemical_formula_sum 'Pr4 Al8 Au4'
_space_group_name_H-M_alt 'A m m 2'
_space_group_IT_number 38
_cell_length_a 6.911
_cell_length_b 4.609
_cell_length_c 10.758
_cell_angle_alpha 90.00
_cell_angle_beta 90.00
_cell_angle_gamma 90.00
loop_
_space_group_symop_operation_xyz
'x,y,z'
'-x,-y,z'
'-x,y,z'
'x,-y,z'
'x,y+1/2,z+1/2'
'-x,-y+1/2,z+1/2'
'-x,y+1/2,z+1/2'
'x,-y+1/2,z+1/2'
loop_
_atom_site_label
_atom_site_type_symbol
_atom_site_fract_x
_atom_site_fract_y
_atom_site_fract_z
Pr1 Pr 0.000 0.000 0.000
Pr2 Pr 0.500 0.000 0.185
Al1 Al 0.000 0.000 0.297
Al2 Al 0.307 0.000 0.479
Al3 Al 0.500 0.000 0.891
Au1 Au 0.202 0.000 0.719
```

Record 7
First-principles (PBE) data for an optimized crystal structure of PrAl6Au12, as listed in Alexandria.

## Properties
Magnetic moment in μB per atom: 0.000
Crystal system: trigonal
ΔE_f in eV per formula unit: -7.00

Geometry as CIF:
```
data_PrAl6Au12
_chemical_formula_sum 'Pr3 Al18 Au36'
_space_group_name_H-M_alt 'R -3 m'
_space_group_IT_number 166
_space_group_name_Hall '-R 3 2"'
_cell_length_a 11.9506
_cell_length_b 11.9506
_cell_length_c 8.7943
_cell_angle_alpha 90.00
_cell_angle_beta 90.00
_cell_angle_gamma 120.00
loop_
_atom_site_label
_atom_site_type_symbol
_atom_site_fract_x
_atom_site_fract_y
_atom_site_fract_z
Pr1 Pr 0.0000 0.0000 0.0000
Al1 Al 0.0562 0.5281 0.2496
Au1 Au 0.0000 0.3809 0.5000
Au2 Au 0.0832 0.1664 0.3025
```

Record 8
First-principles (PBE) data for an optimized crystal structure of Pr2AlAu, as listed in Alexandria.

## Properties
Magnetic moment in μB per atom: 0.000
Offset from the most stable computed form in kJ/mol of formula units: 118.5
Crystal system: monoclinic
ΔE_f in eV per formula unit: -0.91

Geometry as CIF:
```
data_Pr2AlAu
_chemical_formula_sum 'Pr8 Al4 Au4'
_space_group_name_H-M_alt 'C 1 2/c 1'
_space_group_IT_number 15
_cell_length_a 11.255
_cell_length_b 4.838
_cell_length_c 9.722
_cell_angle_alpha 90.00
_cell_angle_beta 115.58
_cell_angle_gamma 90.00
loop_
_space_group_symop_operation_xyz
'x,y,z'
'-x,-y,-z'
'-x,y,-z+1/2'
'x,-y,z+1/2'
'x+1/2,y+1/2,z'
'-x+1/2,-y+1/2,-z'
'-x+1/2,y+1/2,-z+1/2'
'x+1/2,-y+1/2,z+1/2'
loop_
_atom_site_label
_atom_site_type_symbol
_atom_site_fract_x
_atom_site_fract_y
_atom_site_fract_z
Pr1 Pr 0.179 0.001 0.089
Al1 Al 0.000 0.498 0.750
Au1 Au 0.000 0.002 0.250
```